(1)
La2TaIr: optimized geometry, GGA-PBE.

excess energy over the best structure of this formula in the dataset: 1.81 eV per formula unit
magnetic moment: 0.000 μB/atom

a b c (Å): 6.190 9.818 3.193
angles (deg): 90.00 113.36 90.00
Space group C2/m (No. 12)
Symmetry-distinct sites (fractional):
La (0.250, 0.250, 0.000) [4 per cell]
Ta (0.000, 0.000, 0.500) [2 per cell]
Ir (0.000, 0.500, 0.500) [2 per cell]

=====

(2)
LaTaIr3: optimized geometry, GGA-PBE.

excess energy over the best structure of this formula in the dataset: 0.00 eV per formula unit
magnetic moment: 0.000 μB/atom

a b c (Å): 4.848 4.848 4.848
angles (deg): 90.00 90.00 90.00
Space group Pm-3m (No. 221)
Symmetry-distinct sites (fractional):
La (0.000, 0.000, 0.000) [1 per cell]
Ta (0.500, 0.500, 0.500) [1 per cell]
Ir (0.000, 0.500, 0.500) [3 per cell]

=====

no.,formation enthalpy at 0 K (eV/atom)
1,0.278
2,0.291